(1)
Here is a geometry-optimized Na5Ga2Te5 structure from the Alexandria database. Energies are from PBE.

Computed properties:
Final energy ... -3.0209 eV/atom
Total magnetization ... 0.000 μB per atom
V ... 752.5 Å³ per cell
Calculated density ... 3.94 g cm⁻³

The structure in CIF format:
```
data_Na5Ga2Te5
_symmetry_space_group_name_H-M 'C 1 2/m 1'
_symmetry_Int_Tables_number 12
_cell_length_a 14.5597
_cell_length_b 4.3892
_cell_length_c 12.3923
_cell_angle_alpha 90.00
_cell_angle_beta 108.15
_cell_angle_gamma 90.00
loop_
_symmetry_equiv_pos_as_xyz
'x,y,z'
'-x,-y,-z'
'-x,y,-z'
'x,-y,z'
'x+1/2,y+1/2,z'
'-x+1/2,-y+1/2,-z'
'-x+1/2,y+1/2,-z'
'x+1/2,-y+1/2,z'
loop_
_atom_site_label
_atom_site_fract_x
_atom_site_fract_y
_atom_site_fract_z
Na1 0.0000 0.0000 0.0000
Na2 0.1594 0.0000 0.5523
Na3 0.2476 0.0000 0.8612
Ga1 0.0433 0.5000 0.2956
Te1 0.0000 0.5000 0.5000
Te2 0.1061 0.5000 0.8908
Te3 0.1660 0.0000 0.2957
```

(2)
Here is a geometry-optimized ScAl2Pb structure from the Alexandria database. Energies are from PBE.

Computed properties:
Final energy ... -4.5500 eV/atom
Total magnetization ... 0.000 μB per atom
DFT formation energy ... -0.169 eV/atom
V ... 83.0 Å³ per cell
Calculated density ... 6.12 g cm⁻³

The structure in CIF format:
```
data_ScAl2Pb
_symmetry_space_group_name_H-M 'P 4/m m m'
_symmetry_Int_Tables_number 123
_symmetry_space_group_name_Hall '-P 4 2'
_cell_length_a 4.3571
_cell_length_b 4.3571
_cell_length_c 4.3718
_cell_angle_alpha 90.00
_cell_angle_beta 90.00
_cell_angle_gamma 90.00
loop_
_atom_site_label
_atom_site_fract_x
_atom_site_fract_y
_atom_site_fract_z
Sc1 0.0000 0.0000 0.0000
Al1 0.0000 0.5000 0.5000
Pb1 0.5000 0.5000 0.0000
```

(3)
Here is a geometry-optimized PmZr2Al structure from the Alexandria database. Energies are from PBE.

Computed properties:
ΔE to the lowest computed polymorph ... 0 meV/atom
Final energy ... -6.5338 eV/atom
Total magnetization ... 0.000 μB per atom
DFT formation energy ... -0.136 eV/atom
V ... 92.9 Å³ per cell
Calculated density ... 6.34 g cm⁻³

The structure in CIF format:
```
data_PmZr2Al
_symmetry_space_group_name_H-M 'P 4/m m m'
_symmetry_Int_Tables_number 123
_symmetry_space_group_name_Hall '-P 4 2'
_cell_length_a 4.5525
_cell_length_b 4.5525
_cell_length_c 4.4812
_cell_angle_alpha 90.00
_cell_angle_beta 90.00
_cell_angle_gamma 90.00
loop_
_atom_site_label
_atom_site_fract_x
_atom_site_fract_y
_atom_site_fract_z
Pm1 0.0000 0.0000 0.0000
Zr1 0.0000 0.5000 0.5000
Al1 0.5000 0.5000 0.0000
```

(4)
Here is a geometry-optimized NiH2N structure from the Alexandria database. Energies are from PBE.

Computed properties:
Final energy ... -4.0368 eV/atom
Total magnetization ... 0.000 μB per atom
V ... 91.1 Å³ per cell
Calculated density ... 5.45 g cm⁻³

The structure in CIF format:
```
data_NiH2N
_symmetry_space_group_name_H-M 'F m -3 m'
_symmetry_Int_Tables_number 225
_symmetry_space_group_name_Hall '-F 4 2 3'
_cell_length_a 4.5002
_cell_length_b 4.5002
_cell_length_c 4.5002
_cell_angle_alpha 90.00
_cell_angle_beta 90.00
_cell_angle_gamma 90.00
loop_
_atom_site_label
_atom_site_fract_x
_atom_site_fract_y
_atom_site_fract_z
Ni1 0.0000 0.0000 0.0000
H1 0.2500 0.2500 0.2500
N1 0.0000 0.0000 0.5000
```

(5)
Here is a geometry-optimized RbNa2Pt2 structure from the Alexandria database. Energies are from PBE.

Computed properties:
ΔE to the lowest computed polymorph ... 0 meV/atom
Final energy ... -3.1629 eV/atom
Total magnetization ... 0.000 μB per atom
DFT formation energy ... -0.025 eV/atom
V ... 230.5 Å³ per cell
Calculated density ... 7.52 g cm⁻³

The structure in CIF format:
```
data_RbNa2Pt2
_symmetry_space_group_name_H-M 'P 4/m b m'
_symmetry_Int_Tables_number 127
_symmetry_space_group_name_Hall '-P 4 2ab'
_cell_length_a 8.9513
_cell_length_b 8.9513
_cell_length_c 2.8764
_cell_angle_alpha 90.00
_cell_angle_beta 90.00
_cell_angle_gamma 90.00
loop_
_atom_site_label
_atom_site_fract_x
_atom_site_fract_y
_atom_site_fract_z
Rb1 0.0000 0.0000 0.0000
Na1 0.1214 0.3786 0.0000
Pt1 0.1721 0.6721 0.5000
```

(6)
Here is a geometry-optimized LiHfCl5 structure from the Alexandria database. Energies are from PBE.

Computed properties:
Final energy ... -4.8104 eV/atom
Total magnetization ... 0.000 μB per atom
V ... 826.3 Å³ per cell
Calculated density ... 2.92 g cm⁻³

The structure in CIF format:
```
data_LiHfCl5
_symmetry_space_group_name_H-M 'C 1 2/c 1'
_symmetry_Int_Tables_number 15
_cell_length_a 9.8922
_cell_length_b 10.0386
_cell_length_c 9.6078
_cell_angle_alpha 90.00
_cell_angle_beta 120.00
_cell_angle_gamma 90.00
loop_
_symmetry_equiv_pos_as_xyz
'x,y,z'
'-x,-y,-z'
'-x,y,-z+1/2'
'x,-y,z+1/2'
'x+1/2,y+1/2,z'
'-x+1/2,-y+1/2,-z'
'-x+1/2,y+1/2,-z+1/2'
'x+1/2,-y+1/2,z+1/2'
loop_
_atom_site_label
_atom_site_fract_x
_atom_site_fract_y
_atom_site_fract_z
Li1 0.0000 0.1244 0.2500
Hf1 0.2500 0.2500 0.0000
Cl1 0.0000 0.3222 0.7500
Cl2 0.1255 0.2827 0.1608
Cl3 0.1761 0.0168 0.9645
```

(7)
Here is a geometry-optimized Al3CdF structure from the Alexandria database. Energies are from PBE.

Computed properties:
ΔE to the lowest computed polymorph ... 0 meV/atom
Final energy ... -2.9957 eV/atom
Total magnetization ... 0.000 μB per atom
V ... 94.1 Å³ per cell
Calculated density ... 3.75 g cm⁻³

The structure in CIF format:
```
data_Al3CdF
_symmetry_space_group_name_H-M 'P m -3 m'
_symmetry_Int_Tables_number 221
_symmetry_space_group_name_Hall '-P 4 2 3'
_cell_length_a 4.5490
_cell_length_b 4.5490
_cell_length_c 4.5490
_cell_angle_alpha 90.00
_cell_angle_beta 90.00
_cell_angle_gamma 90.00
loop_
_atom_site_label
_atom_site_fract_x
_atom_site_fract_y
_atom_site_fract_z
Al1 0.0000 0.0000 0.5000
Cd1 0.5000 0.5000 0.5000
F1 0.0000 0.0000 0.0000
```

(8)
Here is a geometry-optimized AcLaNdSn structure from the Alexandria database. Energies are from PBE.

Computed properties:
Final energy ... -4.6892 eV/atom
Total magnetization ... 0.000 μB per atom
DFT formation energy ... -0.238 eV/atom
V ... 530.9 Å³ per cell
Calculated density ... 7.87 g cm⁻³

The structure in CIF format:
```
data_AcLaNdSn
_symmetry_space_group_name_H-M 'F -4 3 m'
_symmetry_Int_Tables_number 216
_symmetry_space_group_name_Hall 'F -4 2 3'
_cell_length_a 8.0974
_cell_length_b 8.0974
_cell_length_c 8.0974
_cell_angle_alpha 90.00
_cell_angle_beta 90.00
_cell_angle_gamma 90.00
loop_
_atom_site_label
_atom_site_fract_x
_atom_site_fract_y
_atom_site_fract_z
Ac1 0.0000 0.0000 0.0000
La1 0.2500 0.2500 0.7500
Nd1 0.2500 0.2500 0.2500
Sn1 0.0000 0.0000 0.5000
```

(9)
Here is a geometry-optimized MgHI3 structure from the Alexandria database. Energies are from PBE.

Computed properties:
ΔE to the lowest computed polymorph ... 0 meV/atom
Final energy ... -1.8742 eV/atom
Total magnetization ... 0.205 μB per atom
V ... 190.9 Å³ per cell
Calculated density ... 3.53 g cm⁻³

The structure in CIF format:
```
data_MgHI3
_symmetry_space_group_name_H-M 'P m -3 m'
_symmetry_Int_Tables_number 221
_symmetry_space_group_name_Hall '-P 4 2 3'
_cell_length_a 5.7575
_cell_length_b 5.7575
_cell_length_c 5.7575
_cell_angle_alpha 90.00
_cell_angle_beta 90.00
_cell_angle_gamma 90.00
loop_
_atom_site_label
_atom_site_fract_x
_atom_site_fract_y
_atom_site_fract_z
Mg1 0.0000 0.0000 0.0000
H1 0.5000 0.5000 0.5000
I1 0.0000 0.0000 0.5000
```

(10)
Here is a geometry-optimized ZrNb2Ge structure from the Alexandria database. Energies are from PBE.

Computed properties:
Final energy ... -8.7213 eV/atom
Total magnetization ... 0.000 μB per atom
DFT formation energy ... -0.395 eV/atom
V ... 303.9 Å³ per cell
Calculated density ... 7.64 g cm⁻³

The structure in CIF format:
```
data_ZrNb2Ge
_symmetry_space_group_name_H-M 'C m c m'
_symmetry_Int_Tables_number 63
_symmetry_space_group_name_Hall '-C 2c 2'
_cell_length_a 3.6175
_cell_length_b 10.1209
_cell_length_c 8.3016
_cell_angle_alpha 90.00
_cell_angle_beta 90.00
_cell_angle_gamma 90.00
loop_
_atom_site_label
_atom_site_fract_x
_atom_site_fract_y
_atom_site_fract_z
Zr1 0.0000 0.0469 0.2500
Nb1 0.0000 0.3584 0.0459
Ge1 0.0000 0.2376 0.7500
```

(11)
Here is a geometry-optimized Sr2ZnCdIr structure from the Alexandria database. Energies are from PBE.

Computed properties:
Final energy ... -3.0081 eV/atom
Total magnetization ... 0.000 μB per atom
DFT formation energy ... -0.125 eV/atom
V ... 163.8 Å³ per cell
Calculated density ... 5.53 g cm⁻³

The structure in CIF format:
```
data_Sr2ZnCdIr
_symmetry_space_group_name_H-M 'P 4/m m m'
_symmetry_Int_Tables_number 123
_symmetry_space_group_name_Hall '-P 4 2'
_cell_length_a 5.8140
_cell_length_b 5.8140
_cell_length_c 4.8458
_cell_angle_alpha 90.00
_cell_angle_beta 90.00
_cell_angle_gamma 90.00
loop_
_atom_site_label
_atom_site_fract_x
_atom_site_fract_y
_atom_site_fract_z
Sr1 0.0000 0.5000 0.0000
Zn1 0.0000 0.0000 0.5000
Cd1 0.5000 0.5000 0.5000
Ir1 0.0000 0.0000 0.0000
```

(12)
Here is a geometry-optimized ScReAg2 structure from the Alexandria database. Energies are from PBE.

Computed properties:
ΔE to the lowest computed polymorph ... 109 meV/atom
Final energy ... -5.8147 eV/atom
Total magnetization ... 0.000 μB per atom
DFT formation energy ... 0.306 eV/atom
V ... 137.7 Å³ per cell
Calculated density ... 10.78 g cm⁻³

The structure in CIF format:
```
data_ScReAg2
_symmetry_space_group_name_H-M 'C m m m'
_symmetry_Int_Tables_number 65
_symmetry_space_group_name_Hall '-C 2 2'
_cell_length_a 5.5640
_cell_length_b 8.6933
_cell_length_c 2.8474
_cell_angle_alpha 90.00
_cell_angle_beta 90.00
_cell_angle_gamma 90.00
loop_
_atom_site_label
_atom_site_fract_x
_atom_site_fract_y
_atom_site_fract_z
Sc1 0.0000 0.0000 0.0000
Re1 0.0000 0.5000 0.0000
Ag1 0.2500 0.2500 0.5000
```